1.
ZrMo2W after structural relaxation. Source: Alexandria, functional PBE.

The energy relative to the lowest polymorph listed for this composition comes out at 33 meV/atom.

The space group is P4/mmm (No. 123) and the conventional cell measures 4.597, 4.597 and 3.235 Å, with angles of 90.00, 90.00 and 90.00 degrees. The distinct sites, in fractional coordinates, are Zr at (0.000, 0.000, 0.000), Mo at (0.000, 0.500, 0.500) and W at (0.500, 0.500, 0.000).


2.
TaRe2Hg after structural relaxation. Source: Alexandria, functional PBE.

The space group is R3m (No. 160, hexagonal axes) and the conventional cell measures 2.8602, 2.8602 and 29.1866 Å, with angles of 90.00, 90.00 and 120.00 degrees. The distinct sites, in fractional coordinates, are Ta at (0.0000, 0.0000, 0.0000), Re at (0.0000, 0.0000, 0.2499), Re at (0.0000, 0.0000, 0.5120) and Hg at (0.0000, 0.0000, 0.7574).


| no. | formation energy from the elements (eV/atom) | total magnetic moment (μB per formula unit) |
| --- | --- | --- |
| 1 | 0.00 | 0.00 |
| 2 | 0.31 | 0.00 |